Density functional theory data (PBE) for crystalline PrDyTlCd at its relaxed geometry.

```
PrDyTlCd
1.0
-5.3806 -0.3195 -0.7115
-3.2039 -1.4981 4.1291
-3.2751 3.6421 2.3595
Cd Dy Pr Tl
1 1 1 1
direct
0.2500 0.2500 0.2500
0.5000 0.5000 0.5000
0.0000 0.0000 0.0000
0.7500 0.7500 0.7500
```

DOS at the Fermi energy: 4.981 states/eV/cell
M_tot: 0.001 μB per atom
formation energy from the elements: -0.345 eV/atom
crystal system: cubic
calculated total energy: -14.0 eV for the cell shown